# 1
TbAl2CuPt4, optimized geometry, DFT PBE-GGA; formation energy = -0.8893 eV per atom; symmetry = R-3m, No. 166
1.0
-3.168 0.771 2.782
-2.571 -3.190 1.258
3.341 -2.497 7.799
Tb Al Cu Pt
1 2 1 4
direct
0.000 0.000 0.000
0.762 0.762 0.713
0.238 0.238 0.287
0.500 0.500 0.500
0.401 0.401 0.798
0.870 0.870 0.391
0.130 0.130 0.609
0.599 0.599 0.202

# 2
Rb3Mn2SnBr9, optimized geometry, DFT PBE-GGA; energy relative to the elements, uncorrected = -1.159 eV per atom; symmetry = P-3m1, No. 164
1.0
-6.315 -3.824 2.563
6.770 -3.798 -0.897
2.406 2.136 9.116
Rb Mn Sn Br
3 2 1 9
direct
0.333 0.667 0.681
0.000 0.000 0.000
0.667 0.333 0.319
0.333 0.667 0.157
0.667 0.333 0.843
0.000 0.000 0.500
0.826 0.174 0.681
0.826 0.652 0.681
0.348 0.174 0.681
0.652 0.826 0.319
0.174 0.348 0.319
0.174 0.826 0.319
0.500 0.000 0.000
0.000 0.500 0.000
0.500 0.500 0.000

# 3
RbTaTe4, optimized geometry, DFT PBE-GGA; energy relative to the elements, uncorrected = -0.399 eV per atom; symmetry = C2/c, No. 15
1.0
6.123 0.002 1.101
2.291 8.185 4.776
-0.070 0.484 9.155
Rb Ta Te
2 2 8
direct
0.750 0.366 0.268
0.250 0.634 0.732
0.250 0.001 0.999
0.750 0.999 0.001
0.878 0.307 0.869
0.044 0.055 0.709
0.622 0.824 0.869
0.456 0.235 0.709
0.544 0.765 0.291
0.378 0.176 0.131
0.956 0.945 0.291
0.122 0.693 0.131